(1)
# Rb13Na2

A relaxed Rb13Na2 crystal (PBE-GGA, the Alexandria database).

Structure (POSCAR):
```
Rb13Na2
1.0
11.412 0.000 5.731
4.267 10.584 5.731
1.265 0.854 11.708
Rb Na
13 2
direct
0.500 0.500 0.500
0.007 0.627 0.739
0.627 0.627 0.739
0.627 0.007 0.739
0.373 0.993 0.261
0.993 0.373 0.261
0.373 0.373 0.261
0.189 0.800 0.211
0.800 0.800 0.211
0.800 0.189 0.211
0.200 0.811 0.789
0.811 0.200 0.789
0.200 0.200 0.789
0.641 0.641 0.077
0.359 0.359 0.923
```

Output
As for the calculated total energy: -0.961 eV per atom. The calculation puts the energy above the most stable polymorph in this dataset at 29 meV per atom. The formation energy comes out at 53.2 meV/atom. Its space group is R-3m. The crystal system is trigonal.


(2)
# AcNiBN

A relaxed AcNiBN crystal (PBE-GGA, the Alexandria database).

Structure (POSCAR):
```
AcNiBN
1.0
3.899 0.000 0.000
0.000 3.899 0.000
0.000 0.000 7.444
Ac Ni B N
2 2 2 2
direct
0.000 0.500 0.815
0.500 0.000 0.185
0.000 0.000 0.500
0.500 0.500 0.500
0.000 0.500 0.368
0.500 0.000 0.632
0.500 0.000 0.827
0.000 0.500 0.173
```

Output
As for the calculated total energy: -7.036 eV per atom. The formation energy (no corrections) comes out at -0.81 eV/atom. Its space group is P4/nmm. The crystal system is tetragonal.


(3)
# NdDyHg2

A relaxed NdDyHg2 crystal (PBE-GGA, the Alexandria database).

Structure (POSCAR):
```
NdDyHg2
1.0
3.748 0.000 0.000
0.000 3.748 0.000
0.000 0.000 7.692
Nd Hg Dy
1 2 1
direct
0.500 0.500 0.500
0.000 0.000 0.768
0.000 0.000 0.232
0.500 0.500 0.000
```

Output
As for the calculated total energy: -2.971 eV per atom. The calculation puts the energy above the most stable polymorph in this dataset at 0 meV per atom. The formation energy comes out at -477.2 meV/atom. Its space group is P4/mmm. The crystal system is tetragonal.